Entry from Alexandria via LeMat-Bulk: a relaxed structure of Sr4Li5 (GGA-PBEsol).

```
Sr4Li5
1.0
-1.698 1.311 -5.164
2.666 -5.507 -5.302
-7.177 -3.416 -1.535
Sr Li
4 5
direct
0.000 0.695 0.305
0.000 0.305 0.695
0.695 0.305 0.305
0.305 0.695 0.695
0.000 0.000 0.000
0.640 0.000 0.721
0.360 0.000 0.279
0.640 0.721 0.000
0.360 0.279 0.000
```

Results
For the relative energy among the computed polymorphs, the calculation gives 0.00 eV/f.u. The size of the total moment is 0.0 Bohr magnetons per cell. The uncorrected energy comes out at -1.831 eV/atom. The calculation puts the energy relative to the elements at 79 meV per atom.

=====

Entry from Alexandria via LeMat-Bulk: a relaxed structure of SrLi2 (GGA-PBEsol).

```
SrLi2
1.0
4.174 0.000 0.000
0.000 5.192 0.000
0.000 -2.596 4.496
Sr Li
1 2
direct
0.000 0.000 0.000
0.499 0.667 0.333
0.501 0.333 0.667
```

Results
The size of the total moment is 0.0 Bohr magnetons per cell. The uncorrected energy comes out at -1.869 eV/atom. The calculation puts the energy relative to the elements at 56 meV per atom.

=====

Entry from Alexandria via LeMat-Bulk: a relaxed structure of SrLi2 (GGA-PBEsol).

```
SrLi2
1.0
5.747 0.000 0.000
0.000 6.853 0.000
0.000 0.000 9.818
Sr Li
4 8
direct
0.750 0.829 0.098
0.250 0.671 0.598
0.750 0.329 0.402
0.250 0.171 0.902
0.750 0.505 0.777
0.250 0.995 0.277
0.750 0.005 0.723
0.250 0.495 0.223
0.750 0.343 0.052
0.250 0.157 0.552
0.750 0.843 0.448
0.250 0.657 0.948
```

Results
The size of the total moment is 0.0 Bohr magnetons per cell. The uncorrected energy comes out at -1.850 eV/atom. The calculation puts the energy relative to the elements at 75 meV per atom.

=====

Entry from Alexandria via LeMat-Bulk: a relaxed structure of SrLi2 (GGA-PBEsol).

```
SrLi2
1.0
3.970 0.000 0.000
0.000 3.970 0.000
-1.985 -1.985 5.873
Sr Li
1 2
direct
0.500 0.500 0.000
0.198 0.198 0.396
0.802 0.802 0.604
```

Results
The size of the total moment is 0.0 Bohr magnetons per cell. The uncorrected energy comes out at -1.895 eV/atom. The calculation puts the energy relative to the elements at 29 meV per atom.

=====

Entry from Alexandria via LeMat-Bulk: a relaxed structure of Sr3Li4 (GGA-PBEsol).

```
Sr3Li4
1.0
3.995 0.000 0.000
0.000 3.995 0.000
-1.998 -1.998 14.855
Sr Li
3 4
direct
0.000 0.000 0.000
0.697 0.697 0.394
0.303 0.303 0.606
0.881 0.881 0.762
0.119 0.119 0.238
0.578 0.578 0.156
0.422 0.422 0.844
```

Results
The size of the total moment is 0.0 Bohr magnetons per cell. The uncorrected energy comes out at -1.884 eV/atom. The calculation puts the energy relative to the elements at 28 meV per atom.

=====

Entry from Alexandria via LeMat-Bulk: a relaxed structure of SrLi2 (GGA-PBEsol).

```
SrLi2
1.0
3.960 0.000 0.000
-1.980 6.232 -0.030
0.000 -2.793 7.596
Sr Li
2 4
direct
0.339 0.678 0.373
0.661 0.322 0.627
0.973 0.945 0.789
0.644 0.287 0.040
0.356 0.713 0.960
0.027 0.055 0.211
```

Results
The size of the total moment is 0.0 Bohr magnetons per cell. The uncorrected energy comes out at -1.869 eV/atom. The calculation puts the energy relative to the elements at 56 meV per atom.

=====

Entry from Alexandria via LeMat-Bulk: a relaxed structure of SrLi2 (GGA-PBEsol).

```
SrLi2
1.0
-3.017 -2.256 1.215
3.648 -0.658 1.388
-1.236 4.568 5.413
Sr Li
1 2
direct
0.000 0.000 0.000
0.333 0.667 0.378
0.667 0.333 0.622
```

Results
The size of the total moment is 0.0 Bohr magnetons per cell. The uncorrected energy comes out at -1.775 eV/atom. The calculation puts the energy relative to the elements at 150 meV per atom.

=====

Entry from Alexandria via LeMat-Bulk: a relaxed structure of Sr5Li3 (GGA-PBEsol).

```
Sr5Li3
1.0
7.031 0.000 0.000
3.516 9.653 0.000
3.516 0.000 9.653
Li Sr
6 10
direct
0.250 0.000 0.000
0.750 0.000 0.000
0.837 0.500 0.826
0.163 0.500 0.174
0.337 0.826 0.500
0.663 0.174 0.500
0.250 0.500 0.500
0.750 0.500 0.500
0.921 0.863 0.295
0.079 0.137 0.705
0.421 0.295 0.863
0.579 0.705 0.137
0.716 0.863 0.705
0.284 0.137 0.295
0.784 0.295 0.137
0.216 0.705 0.863
```

Results
The size of the total moment is 0.0 Bohr magnetons per cell. The uncorrected energy comes out at -1.852 eV/atom. The calculation puts the energy relative to the elements at 35 meV per atom.

=====

Entry from Alexandria via LeMat-Bulk: a relaxed structure of SrLi2 (GGA-PBEsol).

```
SrLi2
1.0
4.049 0.000 0.000
-2.025 6.125 0.010
0.000 -0.863 7.759
Sr Li
2 4
direct
0.993 0.987 0.381
0.242 0.485 0.073
0.948 0.897 0.880
0.317 0.634 0.655
0.725 0.449 0.436
0.608 0.215 0.742
```

Results
The size of the total moment is 0.0 Bohr magnetons per cell. The uncorrected energy comes out at -1.842 eV/atom. The calculation puts the energy relative to the elements at 83 meV per atom.

=====

Entry from Alexandria via LeMat-Bulk: a relaxed structure of SrLi2 (GGA-PBEsol).

```
SrLi2
1.0
4.713 0.000 0.000
0.000 4.713 0.000
-2.356 -2.356 8.826
Sr Li
2 4
direct
0.500 0.500 0.000
0.750 0.250 0.500
0.082 0.082 0.164
0.168 0.668 0.336
0.918 0.918 0.836
0.332 0.832 0.664
```

Results
The size of the total moment is 0.0 Bohr magnetons per cell. The uncorrected energy comes out at -1.854 eV/atom. The calculation puts the energy relative to the elements at 71 meV per atom.

=====

Entry from Alexandria via LeMat-Bulk: a relaxed structure of SrLi5 (GGA-PBEsol).

```
SrLi5
1.0
3.836 0.000 0.000
-1.918 5.842 0.019
0.000 -2.190 6.899
Sr Li
1 5
direct
0.000 0.000 0.000
0.687 0.375 0.804
0.000 0.000 0.500
0.313 0.625 0.196
0.329 0.659 0.618
0.671 0.341 0.382
```

Results
For the relative energy among the computed polymorphs, the calculation gives 0.22 eV/f.u. The size of the total moment is 0.0 Bohr magnetons per cell. The uncorrected energy comes out at -1.898 eV/atom. The calculation puts the energy relative to the elements at 48 meV per atom.

=====

Entry from Alexandria via LeMat-Bulk: a relaxed structure of SrLi2 (GGA-PBEsol).

```
SrLi2
1.0
-0.547 -3.027 2.797
-2.994 -2.935 -3.762
7.018 -2.076 -3.964
Sr Li
2 4
direct
0.087 0.750 0.174
0.913 0.250 0.826
0.766 0.750 0.532
0.399 0.750 0.797
0.234 0.250 0.468
0.601 0.250 0.203
```

Results
The size of the total moment is 0.0 Bohr magnetons per cell. The uncorrected energy comes out at -1.867 eV/atom. The calculation puts the energy relative to the elements at 58 meV per atom.

=====

Entry from Alexandria via LeMat-Bulk: a relaxed structure of SrLi5 (GGA-PBEsol).

```
SrLi5
1.0
4.743 0.000 0.000
0.000 6.177 0.000
0.000 -3.088 5.349
Sr Li
1 5
direct
0.000 0.000 0.000
0.000 0.667 0.333
0.000 0.333 0.667
0.500 0.500 0.500
0.500 0.000 0.500
0.500 0.500 0.000
```

Results
For the relative energy among the computed polymorphs, the calculation gives 0.00 eV/f.u. The size of the total moment is 0.0 Bohr magnetons per cell. The uncorrected energy comes out at -1.934 eV/atom. The calculation puts the energy relative to the elements at 12 meV per atom.

=====

Entry from Alexandria via LeMat-Bulk: a relaxed structure of Sr4Li5 (GGA-PBEsol).

```
Sr4Li5
1.0
7.146 0.000 0.000
0.000 10.249 0.000
0.000 -5.124 8.876
Li Sr
10 8
direct
0.750 0.000 0.687
0.750 0.687 0.000
0.750 0.313 0.313
0.250 0.000 0.313
0.250 0.313 0.000
0.250 0.687 0.687
0.000 0.333 0.667
0.500 0.667 0.333
0.000 0.667 0.333
0.500 0.333 0.667
0.000 0.000 0.000
0.500 0.000 0.000
0.750 0.000 0.360
0.750 0.360 0.000
0.750 0.640 0.640
0.250 0.000 0.640
0.250 0.640 0.000
0.250 0.360 0.360
```

Results
For the relative energy among the computed polymorphs, the calculation gives 0.10 eV/f.u. The size of the total moment is 0.0 Bohr magnetons per cell. The uncorrected energy comes out at -1.820 eV/atom. The calculation puts the energy relative to the elements at 91 meV per atom.

=====

Entry from Alexandria via LeMat-Bulk: a relaxed structure of SrLi5 (GGA-PBEsol).

```
SrLi5
1.0
5.362 0.000 0.000
0.000 5.101 0.000
-2.681 0.000 5.701
Sr Li
1 5
direct
0.139 0.500 0.278
0.931 0.000 0.861
0.347 0.000 0.694
0.639 0.000 0.278
0.459 0.500 0.918
0.819 0.500 0.637
```

Results
For the relative energy among the computed polymorphs, the calculation gives 0.22 eV/f.u. The size of the total moment is 0.0 Bohr magnetons per cell. The uncorrected energy comes out at -1.898 eV/atom. The calculation puts the energy relative to the elements at 48 meV per atom.

=====

Entry from Alexandria via LeMat-Bulk: a relaxed structure of Sr2LiTa (GGA-PBEsol).

```
Sr2LiTa
1.0
-1.759 2.081 1.613
-2.380 -3.960 2.514
4.681 0.234 4.800
Li Sr Ta
1 2 1
direct
0.500 0.500 0.729
0.000 0.000 0.969
0.500 0.500 0.306
0.000 0.000 0.496
```

Results
For the relative energy among the computed polymorphs, the calculation gives 0.00 eV/f.u. The size of the total moment is 0.0 Bohr magnetons per cell. The uncorrected energy comes out at -3.637 eV/atom. The calculation puts the energy relative to the elements at 913 meV per atom.

=====

Entry from Alexandria via LeMat-Bulk: a relaxed structure of SrLiTa2 (GGA-PBEsol).

```
SrLiTa2
1.0
2.928 0.000 0.000
-1.464 4.758 0.006
0.000 -0.460 6.405
Li Sr Ta
1 1 2
direct
0.508 0.015 0.539
0.749 0.499 0.257
0.990 0.980 0.914
0.253 0.506 0.789
```

Results
For the relative energy among the computed polymorphs, the calculation gives 0.74 eV/f.u. The size of the total moment is 0.0 Bohr magnetons per cell. The uncorrected energy comes out at -6.528 eV/atom. The calculation puts the energy relative to the elements at 699 meV per atom.

=====

Entry from Alexandria via LeMat-Bulk: a relaxed structure of SrLiTa2 (GGA-PBEsol).

```
SrLiTa2
1.0
3.503 0.000 0.000
0.000 3.503 0.000
0.000 0.000 7.719
Li Sr Ta
1 1 2
direct
0.000 0.000 0.435
0.500 0.500 0.773
0.000 0.000 0.076
0.500 0.500 0.216
```

Results
For the relative energy among the computed polymorphs, the calculation gives 0.00 eV/f.u. The size of the total moment is 0.0 Bohr magnetons per cell. The uncorrected energy comes out at -6.715 eV/atom. The calculation puts the energy relative to the elements at 513 meV per atom.

=====

Entry from Alexandria via LeMat-Bulk: a relaxed structure of SrLiTa3 (GGA-PBEsol).

```
SrLiTa3
1.0
-2.843 0.332 3.922
-3.264 -2.903 -2.120
2.200 -3.877 1.924
Sr Li Ta
1 1 3
direct
0.000 0.000 0.000
0.500 0.500 0.500
0.000 0.500 0.000
0.000 0.000 0.500
0.500 0.000 0.000
```

Results
The size of the total moment is 0.0 Bohr magnetons per cell. The uncorrected energy comes out at -5.423 eV/atom. The calculation puts the energy relative to the elements at 2869 meV per atom.

=====

Entry from Alexandria via LeMat-Bulk: a relaxed structure of SrLi2Ta (GGA-PBEsol).

```
SrLi2Ta
1.0
-2.390 1.169 -0.967
2.845 -1.097 -5.202
-2.235 -4.811 2.867
Li Sr Ta
2 1 1
direct
0.000 0.500 0.000
0.000 0.000 0.500
0.500 0.000 0.000
0.500 0.500 0.500
```

Results
The size of the total moment is 0.0 Bohr magnetons per cell. The uncorrected energy comes out at -3.818 eV/atom. The calculation puts the energy relative to the elements at 763 meV per atom.

=====

Entry from Alexandria via LeMat-Bulk: a relaxed structure of SrLiTa2 (GGA-PBEsol).

```
SrLiTa2
1.0
-0.834 -0.178 -2.664
0.619 -2.568 0.921
-10.403 -1.308 3.342
Li Sr Ta
1 1 2
direct
0.500 0.500 0.500
0.500 0.500 0.000
0.000 0.000 0.268
0.000 0.000 0.732
```

Results
For the relative energy among the computed polymorphs, the calculation gives 1.57 eV/f.u. The size of the total moment is 0.0 Bohr magnetons per cell. The uncorrected energy comes out at -6.321 eV/atom. The calculation puts the energy relative to the elements at 906 meV per atom.

=====

Entry from Alexandria via LeMat-Bulk: a relaxed structure of Sr2LiTa (GGA-PBEsol).

```
Sr2LiTa
1.0
-1.950 2.274 -3.790
3.409 -1.864 -2.872
-3.791 -4.377 2.404
Li Sr Ta
1 2 1
direct
0.250 0.750 0.500
0.000 0.000 0.000
0.750 0.250 0.500
0.500 0.500 0.000
```

Results
For the relative energy among the computed polymorphs, the calculation gives 0.28 eV/f.u. The size of the total moment is 3.5 Bohr magnetons per cell. The uncorrected energy comes out at -3.566 eV/atom. The calculation puts the energy relative to the elements at 984 meV per atom.

=====

Entry from Alexandria via LeMat-Bulk: a relaxed structure of SrLi2Tc (GGA-PBEsol).

```
SrLi2Tc
1.0
4.845 0.000 0.000
2.423 4.196 0.000
2.423 1.399 3.956
Li Sr Tc
2 1 1
direct
0.250 0.250 0.250
0.750 0.750 0.750
0.000 0.000 0.000
0.500 0.500 0.500
```

Results
For the relative energy among the computed polymorphs, the calculation gives 0.49 eV/f.u. The size of the total moment is 2.0 Bohr magnetons per cell. The uncorrected energy comes out at -3.482 eV/atom. The calculation puts the energy relative to the elements at 778 meV per atom.

=====

Entry from Alexandria via LeMat-Bulk: a relaxed structure of SrLi2Tc (GGA-PBEsol).

```
SrLi2Tc
1.0
2.849 0.000 0.000
0.000 5.334 0.000
-1.425 -2.667 5.616
Li Sr Tc
2 1 1
direct
0.708 0.708 0.415
0.292 0.292 0.585
0.500 0.000 0.000
0.000 0.500 0.000
```

Results
For the relative energy among the computed polymorphs, the calculation gives 0.01 eV/f.u. The size of the total moment is 0.0 Bohr magnetons per cell. The uncorrected energy comes out at -3.602 eV/atom. The calculation puts the energy relative to the elements at 658 meV per atom.

=====

Entry from Alexandria via LeMat-Bulk: a relaxed structure of Sr2LiTc2 (GGA-PBEsol).

```
Sr2LiTc2
1.0
3.522 0.000 0.000
0.000 3.522 0.000
-1.761 -1.761 11.085
Sr Tc Li
2 2 1
direct
0.371 0.371 0.742
0.629 0.629 0.258
0.250 0.750 0.500
0.750 0.250 0.500
0.000 0.000 0.000
```

Results
The size of the total moment is 0.0 Bohr magnetons per cell. The uncorrected energy comes out at -5.140 eV/atom. The calculation puts the energy relative to the elements at 496 meV per atom.

=====

Entry from Alexandria via LeMat-Bulk: a relaxed structure of Sr2LiTc (GGA-PBEsol).

```
Sr2LiTc
1.0
3.499 0.000 0.000
0.000 5.403 0.000
-1.750 -2.701 5.750
Li Sr Tc
1 2 1
direct
0.805 0.305 0.609
0.006 0.006 0.012
0.210 0.710 0.420
0.479 0.479 0.958
```

Results
The size of the total moment is 1.4 Bohr magnetons per cell. The uncorrected energy comes out at -3.520 eV/atom. The calculation puts the energy relative to the elements at 709 meV per atom.

=====

Entry from Alexandria via LeMat-Bulk: a relaxed structure of Sr2LiTc (GGA-PBEsol).

```
Sr2LiTc
1.0
-2.593 -1.528 -1.839
2.386 -1.836 -1.838
-0.429 -6.908 6.346
Li Sr Tc
1 2 1
direct
0.500 0.500 0.500
0.000 0.000 0.796
0.000 0.000 0.204
0.500 0.500 0.000
```

Results
The size of the total moment is 1.5 Bohr magnetons per cell. The uncorrected energy comes out at -3.573 eV/atom. The calculation puts the energy relative to the elements at 656 meV per atom.